No. 1
Tl2Pb2S | GGA-PBE | relaxed

abc: 7.843 7.843 4.921
angles: 90.00 90.00 90.00
Sites, in units of the cell vectors:
Tl 0.155 0.345 0.000
Tl 0.345 0.845 0.000
Tl 0.655 0.155 0.000
Tl 0.845 0.655 0.000
Pb 0.155 0.655 0.500
Pb 0.345 0.155 0.500
Pb 0.655 0.845 0.500
Pb 0.845 0.345 0.500
S 0.000 0.000 0.000
S 0.500 0.500 0.000

Values from the calculation:
* offset from the most stable computed form: 163 meV/atom
* uncorrected formation energy: 0.150 eV per atom

No. 2
CaPmEr14 | GGA-PBE | relaxed

abc: 11.208 7.211 7.211
angles: 59.94 90.00 90.00
Sites, in units of the cell vectors:
Ca 0.000 0.000 0.000
Pm 0.000 0.499 0.499
Er 0.000 0.001 0.499
Er 0.000 0.499 0.001
Er 0.249 0.333 0.333
Er 0.255 0.831 0.831
Er 0.256 0.337 0.832
Er 0.256 0.832 0.337
Er 0.500 0.000 0.000
Er 0.500 0.000 0.500
Er 0.500 0.500 0.000
Er 0.500 0.500 0.500
Er 0.744 0.337 0.832
Er 0.744 0.832 0.337
Er 0.745 0.831 0.831
Er 0.751 0.333 0.333

Values from the calculation:
* VASP energy: -0.323 Ry/atom

No. 3
Tm4Co4Si | GGA-PBE | relaxed

abc: 7.958 7.958 5.347
angles: 90.00 90.00 90.00
Sites, in units of the cell vectors:
Tm 0.040 0.687 0.112
Tm 0.187 0.960 0.612
Tm 0.313 0.540 0.612
Tm 0.460 0.813 0.112
Tm 0.540 0.187 0.888
Tm 0.687 0.460 0.388
Tm 0.813 0.040 0.388
Tm 0.960 0.313 0.888
Co 0.019 0.373 0.394
Co 0.127 0.019 0.106
Co 0.373 0.481 0.106
Co 0.481 0.127 0.394
Co 0.519 0.873 0.606
Co 0.627 0.519 0.894
Co 0.873 0.981 0.894
Co 0.981 0.627 0.606
Si 0.250 0.250 0.250
Si 0.750 0.750 0.750

Values from the calculation:
* uncorrected formation energy: -0.306 eV per atom

No. 4
La2MnH | GGA-PBE | relaxed

abc: 6.930 6.930 6.930
angles: 90.00 90.00 90.00
Sites, in units of the cell vectors:
La 0.250 0.250 0.250
La 0.250 0.250 0.750
La 0.250 0.750 0.250
La 0.250 0.750 0.750
La 0.750 0.250 0.250
La 0.750 0.250 0.750
La 0.750 0.750 0.250
La 0.750 0.750 0.750
Mn 0.000 0.000 0.000
Mn 0.000 0.500 0.500
Mn 0.500 0.000 0.500
Mn 0.500 0.500 0.000
H 0.000 0.000 0.500
H 0.000 0.500 0.000
H 0.500 0.000 0.000
H 0.500 0.500 0.500

Values from the calculation:
* offset from the most stable computed form: 4 meV/atom

No. 5
Rb3DyHo2Se6 | GGA-PBE | relaxed

abc: 7.327 7.327 8.356
angles: 98.41 98.41 120.00
Sites, in units of the cell vectors:
Rb 0.000 0.000 0.000
Rb 0.333 0.667 0.000
Rb 0.667 0.333 0.000
Dy 0.500 0.500 0.500
Ho 0.167 0.833 0.500
Ho 0.833 0.167 0.500
Se 0.101 0.435 0.305
Se 0.231 0.231 0.695
Se 0.435 0.101 0.305
Se 0.565 0.899 0.695
Se 0.769 0.769 0.305
Se 0.899 0.565 0.695

Values from the calculation:
* uncorrected formation energy: -1.737 eV per atom

No. 6
BeRhSe2 | GGA-PBE | relaxed

abc: 6.175 3.543 6.233
angles: 90.00 109.21 90.00
Sites, in units of the cell vectors:
Be 0.000 0.000 0.000
Be 0.500 0.500 0.000
Rh 0.000 0.500 0.500
Rh 0.500 0.000 0.500
Se 0.244 0.500 0.235
Se 0.256 0.000 0.765
Se 0.744 0.000 0.235
Se 0.756 0.500 0.765

Values from the calculation:
* uncorrected formation energy: -0.130 eV per atom

No. 7
PuSnTe2 | GGA-PBE | relaxed

abc: 3.876 3.876 7.605
angles: 90.00 90.00 90.00
Sites, in units of the cell vectors:
Pu 0.000 0.000 0.000
Sn 0.000 0.000 0.500
Te 0.500 0.500 0.235
Te 0.500 0.500 0.765

Values from the calculation:
* uncorrected formation energy: -0.547 eV per atom

No. 8
YAl2P | GGA-PBE | relaxed

abc: 3.936 4.309 9.049
angles: 90.00 90.00 90.00
Sites, in units of the cell vectors:
Y 0.000 0.000 0.000
Y 0.500 0.500 0.500
Al 0.000 0.000 0.563
Al 0.000 0.500 0.765
Al 0.500 0.000 0.265
Al 0.500 0.500 0.063
P 0.000 0.500 0.250
P 0.500 0.000 0.750

Values from the calculation:
* VASP energy: -0.387 Ry/atom

No. 9
BaCdRe2 | GGA-PBE | relaxed

abc: 4.179 4.179 10.048
angles: 90.00 90.00 90.00
Sites, in units of the cell vectors:
Ba 0.000 0.000 0.000
Ba 0.500 0.500 0.500
Cd 0.000 0.000 0.500
Cd 0.500 0.500 0.000
Re 0.000 0.500 0.250
Re 0.000 0.500 0.750
Re 0.500 0.000 0.250
Re 0.500 0.000 0.750

Values from the calculation:
* VASP energy: -0.394 Ry/atom

No. 10
PrNdEuSn | GGA-PBE | relaxed

abc: 7.937 7.937 7.937
angles: 90.00 90.00 90.00
Sites, in units of the cell vectors:
Pr 0.000 0.000 0.000
Pr 0.000 0.500 0.500
Pr 0.500 0.000 0.500
Pr 0.500 0.500 0.000
Nd 0.000 0.000 0.500
Nd 0.000 0.500 0.000
Nd 0.500 0.000 0.000
Nd 0.500 0.500 0.500
Eu 0.250 0.250 0.250
Eu 0.250 0.750 0.750
Eu 0.750 0.250 0.750
Eu 0.750 0.750 0.250
Sn 0.250 0.250 0.750
Sn 0.250 0.750 0.250
Sn 0.750 0.250 0.250
Sn 0.750 0.750 0.750

Values from the calculation:
* VASP energy: -0.460 Ry/atom

No. 11
Tl3Pd2Pb8 | GGA-PBE | relaxed

abc: 9.117 9.117 5.447
angles: 101.14 101.14 61.34
Sites, in units of the cell vectors:
Tl 0.000 0.000 0.000
Tl 0.218 0.782 0.500
Tl 0.782 0.218 0.500
Pd 0.222 0.222 0.080
Pd 0.778 0.778 0.920
Pb 0.139 0.560 0.941
Pb 0.171 0.171 0.552
Pb 0.377 0.377 0.471
Pb 0.440 0.861 0.059
Pb 0.560 0.139 0.941
Pb 0.623 0.623 0.529
Pb 0.829 0.829 0.448
Pb 0.861 0.440 0.059

Values from the calculation:
* VASP energy: -0.269 Ry/atom